(1)
Compound: La4Mg5
Source: Alexandria
Functional: PBE-GGA
Structure: optimized geometry

Properties
Energy (eV per atom): -3.087
Energy of formation (meV/atom): -11
ρ (kg/m3): 4068
E above lowest polymorph (meV per atom): 24

Cell: 9.6435 9.6435 6.8644 Å, 90.00 90.00 120.00°
Space group P6_3/mcm (No. 193)
Symmetry-distinct sites (fractional):
La 0.0000 0.0000 0.0000 [2 per cell]
La 0.0000 0.3458 0.2500 [6 per cell]
Mg 0.0000 0.3298 0.7500 [6 per cell]
Mg 0.3333 0.6667 0.0000 [4 per cell]



(2)
Compound: La2Mg
Source: Alexandria
Functional: PBE-GGA
Structure: optimized geometry

Properties
Energy (eV per atom): -3.812
Energy of formation (meV/atom): 4
ρ (kg/m3): 4958
E above lowest polymorph (meV per atom): 71

Cell: 5.6710 5.6710 7.2659 Å, 90.00 90.00 120.00°
Space group P6_3/mmc (No. 194)
Symmetry-distinct sites (fractional):
La 0.0000 0.0000 0.0000 [2 per cell]
La 0.3333 0.6667 0.2500 [2 per cell]
Mg 0.3333 0.6667 0.7500 [2 per cell]